No. 1
DFT (GGA-PBE) results for Cs2RuBr after structural relaxation.

* DOS(E_F): 6.61 states/eV per atom
* size of the total moment: 12.0 μB per cell
* E_form (uncorrected): 37.70 kJ/mol of atoms

Cell lengths 8.9384, 8.9384, 8.9384 Å; angles 90.00, 90.00, 90.00 degrees
Space group Fm-3m (No. 225)
Symmetry-distinct sites (fractional):
Cs (0.2500, 0.2500, 0.2500)
Ru (0.0000, 0.0000, 0.0000)
Br (0.0000, 0.0000, 0.5000)

No. 2
DFT (GGA-PBE) results for Cs3RuBr8 after structural relaxation.

* DOS(E_F): 0.35 states/eV per atom
* size of the total moment: 6.1 μB per cell
* ΔE to the lowest computed polymorph: 0.00 kJ per mole of atoms
* E_form (uncorrected): -93.92 kJ/mol of atoms

Cell lengths 10.7780, 10.7780, 9.5870 Å; angles 90.00, 90.00, 120.00 degrees
Space group P6_3mc (No. 186)
Symmetry-distinct sites (fractional):
Cs (0.1535, 0.3071, 0.0000)
Ru (0.3333, 0.6667, 0.4346)
Br (0.0000, 0.0000, 0.2523)
Br (0.1141, 0.5571, 0.2851)
Br (0.2245, 0.4489, 0.5866)
Br (0.3333, 0.6667, 0.9071)

No. 3
DFT (GGA-PBE) results for CsRuBr3 after structural relaxation.

* DOS(E_F): 1.44 states/eV per atom
* size of the total moment: 1.8 μB per cell
* E_form (uncorrected): -57.71 kJ/mol of atoms

Cell lengths 5.2999, 5.2999, 5.2999 Å; angles 90.00, 90.00, 90.00 degrees
Space group Pm-3m (No. 221)
Symmetry-distinct sites (fractional):
Cs (0.0000, 0.0000, 0.0000)
Ru (0.5000, 0.5000, 0.5000)
Br (0.0000, 0.5000, 0.5000)

No. 4
DFT (GGA-PBE) results for CsRuBr6 after structural relaxation.

* DOS(E_F): 0.19 states/eV per atom
* size of the total moment: 12.4 μB per cell
* ΔE to the lowest computed polymorph: 0.00 kJ per mole of atoms
* E_form (uncorrected): -57.49 kJ/mol of atoms

Cell lengths 12.7969, 6.9334, 13.1417 Å; angles 90.00, 103.38, 90.00 degrees
Space group C2/c (No. 15)
Symmetry-distinct sites (fractional):
Cs (0.0000, 0.1153, 0.2500)
Ru (0.2500, 0.2500, 0.0000)
Br (0.0739, 0.3709, 0.8950)
Br (0.1604, 0.0473, 0.5420)
Br (0.2150, 0.4120, 0.1586)

Question: What is the E_form (uncorrected) in the third record?
Answer: -57.71 kJ/mol of atoms

Question: What is the E_form (uncorrected) in the third record?
Answer: -57.71 kJ/mol of atoms